(1)
Material: NbV3Re4
Method: DFT, PBE
State: optimized geometry

The space group is P4/mmm (No. 123) and the conventional cell measures 3.085, 3.085 and 12.350 Å, with angles of 90.00, 90.00 and 90.00 degrees. The distinct sites, in fractional coordinates, are Nb at (0.000, 0.000, 0.000), V at (0.000, 0.000, 0.256), V at (0.000, 0.000, 0.500), Re at (0.500, 0.500, 0.135) and Re at (0.500, 0.500, 0.378).

The calculation puts the total DFT energy (no corrections) at -0.41178 hartree per atom. For the density of states at the Fermi level, the calculation gives 0.55 states/eV/atom. Its total moment is 0.00 Bohr magnetons per cell. The formation energy is -2.42 eV per formula unit.


(2)
Material: NbV5Re2
Method: DFT, PBE
State: optimized geometry

The space group is P2/m (No. 10) and the conventional cell measures 5.194, 4.369 and 10.204 Å, with angles of 90.00, 95.86 and 90.00 degrees. The distinct sites, in fractional coordinates, are Nb at (0.000, 0.000, 0.000), Nb at (0.500, 0.000, 0.500), V at (0.000, 0.000, 0.500), V at (0.117, 0.500, 0.872), V at (0.135, 0.000, 0.253), V at (0.300, 0.500, 0.376), V at (0.365, 0.000, 0.750), V at (0.500, 0.000, 0.000), Re at (0.193, 0.500, 0.624) and Re at (0.384, 0.500, 0.127).

The calculation puts the total DFT energy (no corrections) at -0.37460 hartree per atom. For the density of states at the Fermi level, the calculation gives 0.98 states/eV/atom. Its total moment is 0.00 Bohr magnetons per cell. The formation energy is -0.99 eV per formula unit.


(3)
Material: NbV2Re3
Method: DFT, PBE
State: optimized geometry

The space group is P4/mmm (No. 123) and the conventional cell measures 3.100, 3.100 and 9.302 Å, with angles of 90.00, 90.00 and 90.00 degrees. The distinct sites, in fractional coordinates, are Nb at (0.000, 0.000, 0.000), V at (0.000, 0.000, 0.338), Re at (0.500, 0.500, 0.178) and Re at (0.500, 0.500, 0.500).

The calculation puts the total DFT energy (no corrections) at -0.41274 hartree per atom. For the density of states at the Fermi level, the calculation gives 0.56 states/eV/atom. Its total moment is 0.00 Bohr magnetons per cell. The formation energy is -1.74 eV per formula unit.


(4)
Material: Nb2VRe2
Method: DFT, PBE
State: optimized geometry

The space group is Cmmm (No. 65) and the conventional cell measures 3.052, 17.789 and 3.050 Å, with angles of 90.00, 90.00 and 90.00 degrees. The distinct sites, in fractional coordinates, are Nb at (0.000, 0.180, 0.000), V at (0.000, 0.000, 0.000) and Re at (0.000, 0.415, 0.500).

The calculation puts the total DFT energy (no corrections) at -0.39644 hartree per atom. For the density of states at the Fermi level, the calculation gives 0.85 states/eV/atom. Its total moment is 0.00 Bohr magnetons per cell. The formation energy is 0.22 eV per formula unit.


(5)
Material: Nb2V2Re
Method: DFT, PBE
State: optimized geometry

The space group is C2/c (No. 15) and the conventional cell measures 12.579, 5.258 and 4.888 Å, with angles of 90.00, 94.12 and 90.00 degrees. The distinct sites, in fractional coordinates, are Nb at (0.111, 0.136, 0.354), V at (0.194, 0.399, 0.884) and Re at (0.000, 0.366, 0.750).

The calculation puts the total DFT energy (no corrections) at -0.36749 hartree per atom. For the density of states at the Fermi level, the calculation gives 1.05 states/eV/atom. Its total moment is 0.00 Bohr magnetons per cell. The formation energy is 0.83 eV per formula unit.


(6)
Material: Nb5VRe6
Method: DFT, PBE
State: optimized geometry

The space group is Immm (No. 71) and the conventional cell measures 4.504, 6.377 and 13.483 Å, with angles of 90.00, 90.00 and 90.00 degrees. The distinct sites, in fractional coordinates, are Nb at (0.000, 0.000, 0.000), Nb at (0.000, 0.000, 0.335), Nb at (0.000, 0.500, 0.333), V at (0.000, 0.500, 0.000), Re at (0.000, 0.245, 0.500) and Re at (0.000, 0.253, 0.165).

The calculation puts the total DFT energy (no corrections) at -0.42054 hartree per atom. For the density of states at the Fermi level, the calculation gives 0.34 states/eV/atom. Its total moment is 0.00 Bohr magnetons per cell. The formation energy is -3.17 eV per formula unit.


(7)
Material: Nb3VRe
Method: DFT, PBE
State: optimized geometry

The space group is P-1 (No. 2) and the conventional cell measures 4.991, 5.336 and 7.397 Å, with angles of 108.32, 109.64 and 90.05 degrees. The distinct sites, in fractional coordinates, are Nb at (0.032, 0.284, 0.064), Nb at (0.397, 0.875, 0.794), Nb at (0.398, 0.356, 0.796), V at (0.192, 0.948, 0.384), Re at (0.000, 0.500, 0.500) and Re at (0.500, 0.500, 0.500).

The calculation puts the total DFT energy (no corrections) at -0.37433 hartree per atom. For the density of states at the Fermi level, the calculation gives 1.05 states/eV/atom. Its total moment is 0.00 Bohr magnetons per cell. The formation energy is 0.85 eV per formula unit.


(8)
Material: NbV12Re6
Method: DFT, PBE
State: optimized geometry

The space group is R-3m (No. 166, hexagonal axes) and the conventional cell measures 11.0062, 11.0062 and 8.5661 Å, with angles of 90.00, 90.00 and 120.00 degrees. The distinct sites, in fractional coordinates, are Nb at (0.0000, 0.0000, 0.0000), V at (0.0000, 0.3895, 0.5000), V at (0.0834, 0.1667, 0.2856) and Re at (0.0640, 0.5320, 0.2341).

The calculation puts the total DFT energy (no corrections) at -0.36032 hartree per atom. For the density of states at the Fermi level, the calculation gives 1.04 states/eV/atom. Its total moment is 0.00 Bohr magnetons per cell. The formation energy is 7.89 eV per formula unit.


(9)
Material: NbV6Re5
Method: DFT, PBE
State: optimized geometry

The space group is Immm (No. 71) and the conventional cell measures 4.328, 6.112 and 12.965 Å, with angles of 90.00, 90.00 and 90.00 degrees. The distinct sites, in fractional coordinates, are Nb at (0.000, 0.000, 0.000), V at (0.000, 0.247, 0.500), V at (0.000, 0.251, 0.168), Re at (0.000, 0.000, 0.334), Re at (0.000, 0.500, 0.000) and Re at (0.000, 0.500, 0.332).

The calculation puts the total DFT energy (no corrections) at -0.40068 hartree per atom. For the density of states at the Fermi level, the calculation gives 0.45 states/eV/atom. Its total moment is 0.00 Bohr magnetons per cell. The formation energy is -3.81 eV per formula unit.


(10)
Material: NbV8Re2
Method: DFT, PBE
State: optimized geometry

The space group is C2/m (No. 12) and the conventional cell measures 11.982, 4.405 and 7.592 Å, with angles of 90.00, 126.86 and 90.00 degrees. The distinct sites, in fractional coordinates, are Nb at (0.000, 0.000, 0.000), V at (0.045, 0.500, 0.860), V at (0.046, 0.000, 0.391), V at (0.197, 0.500, 0.358), V at (0.208, 0.000, 0.872) and Re at (0.142, 0.500, 0.633).

The calculation puts the total DFT energy (no corrections) at -0.35628 hartree per atom. For the density of states at the Fermi level, the calculation gives 0.98 states/eV/atom. Its total moment is 0.00 Bohr magnetons per cell. The formation energy is 1.27 eV per formula unit.


(11)
Material: Nb2V6Re
Method: DFT, PBE
State: optimized geometry

The space group is C2/m (No. 12) and the conventional cell measures 8.855, 5.070 and 6.303 Å, with angles of 90.00, 103.50 and 90.00 degrees. The distinct sites, in fractional coordinates, are Nb at (0.183, 0.000, 0.089), V at (0.031, 0.244, 0.690), V at (0.240, 0.500, 0.419) and Re at (0.000, 0.500, 0.000).

The calculation puts the total DFT energy (no corrections) at -0.35311 hartree per atom. For the density of states at the Fermi level, the calculation gives 1.01 states/eV/atom. Its total moment is 0.00 Bohr magnetons per cell. The formation energy is 0.82 eV per formula unit.


(12)
Material: Nb8V2Re
Method: DFT, PBE
State: optimized geometry

The space group is C2/m (No. 12) and the conventional cell measures 15.098, 4.603 and 5.418 Å, with angles of 90.00, 90.07 and 90.00 degrees. The distinct sites, in fractional coordinates, are Nb at (0.047, 0.000, 0.237), Nb at (0.093, 0.500, 0.949), Nb at (0.140, 0.000, 0.691), Nb at (0.182, 0.500, 0.407), V at (0.229, 0.000, 0.126) and Re at (0.000, 0.500, 0.500).

The calculation puts the total DFT energy (no corrections) at -0.37354 hartree per atom. For the density of states at the Fermi level, the calculation gives 1.45 states/eV/atom. Its total moment is 0.00 Bohr magnetons per cell. The formation energy is -0.57 eV per formula unit.